[1]
{"formula": "Hf2ZnPt", "functional": "PBE-GGA", "state": "relaxed", "delta_e_f_ev_per_fu": -2.54, "lattice_angstrom": [[4.2781, 0.0000, 0.0000], [0.0000, 1.6847, 5.1629], [0.0000, -1.6847, 5.1629]], "species": ["Hf", "Hf", "Zn", "Pt"], "fractional_positions": [[0.0000, 0.0000, 0.0000], [0.5000, 0.2979, 0.2979], [0.0000, 0.7308, 0.7308], [0.5000, 0.5676, 0.5676]]}

[2]
{"formula": "Tl2TeAs", "functional": "PBE-GGA", "state": "relaxed", "e_form_raw_ev_per_atom": 0.02, "relative_energy_mev_per_atom": 9.4, "lattice_angstrom": [[6.4065, -1.9227, 0.0000], [6.4065, 1.9227, 0.0000], [-2.4431, 0.0000, 5.5437]], "species": ["Tl", "Tl", "Te", "As"], "fractional_positions": [[0.0000, 0.0000, 0.0000], [0.2372, 0.2372, 0.8178], [0.4980, 0.4980, 0.4882], [0.6718, 0.6718, 0.3766]]}

[3]
{"formula": "Mg2Ge2Au", "functional": "PBE-GGA", "state": "relaxed", "delta_e_f_ev_per_fu": -0.84, "lattice_angstrom": [[6.9051, 0.0000, 0.0000], [0.0000, 6.9051, 0.0000], [0.0000, 0.0000, 4.0986]], "species": ["Mg", "Mg", "Mg", "Mg", "Ge", "Ge", "Ge", "Ge", "Au", "Au"], "fractional_positions": [[0.1728, 0.3272, 0.0000], [0.3272, 0.8272, 0.0000], [0.6728, 0.1728, 0.0000], [0.8272, 0.6728, 0.0000], [0.1323, 0.6323, 0.5000], [0.3677, 0.1323, 0.5000], [0.6323, 0.8677, 0.5000], [0.8677, 0.3677, 0.5000], [0.0000, 0.0000, 0.5000], [0.5000, 0.5000, 0.5000]]}

[4]
{"formula": "Ba2Fe", "functional": "PBE-GGA", "state": "relaxed", "delta_e_f_ev_per_fu": 1.93, "lattice_angstrom": [[4.6694, 0.0000, 0.0000], [-2.3347, 4.0438, 0.0000], [0.0000, 0.0000, 7.3782]], "species": ["Ba", "Ba", "Fe"], "fractional_positions": [[0.3333, 0.6667, 0.2347], [0.6667, 0.3333, 0.7653], [0.0000, 0.0000, 0.0000]]}

[5]
{"formula": "NdY3N", "functional": "PBE-GGA", "state": "relaxed", "e_form_raw_ev_per_atom": -0.48, "lattice_angstrom": [[5.0070, 0.0000, 0.0000], [0.0000, 5.0070, 0.0000], [0.0000, 0.0000, 5.0070]], "species": ["Nd", "Y", "Y", "Y", "N"], "fractional_positions": [[0.0000, 0.0000, 0.0000], [0.0000, 0.5000, 0.5000], [0.5000, 0.0000, 0.5000], [0.5000, 0.5000, 0.0000], [0.5000, 0.5000, 0.5000]]}

[6]
{"formula": "MnPPdRh2", "functional": "PBE-GGA", "state": "relaxed", "delta_e_f_ev_per_fu": 8.49, "lattice_angstrom": [[4.8739, 0.0000, 0.0000], [0.0000, 4.8739, 0.0000], [0.0000, 0.0000, 4.2081]], "species": ["Mn", "P", "Pd", "Rh", "Rh"], "fractional_positions": [[0.0000, 0.0000, 0.0000], [0.5000, 0.5000, 0.0000], [0.5000, 0.5000, 0.5000], [0.0000, 0.5000, 0.5000], [0.5000, 0.0000, 0.5000]]}

[7]
{"formula": "Ti2CdBi", "functional": "PBE-GGA", "state": "relaxed", "relative_energy_mev_per_atom": 232.9, "delta_e_f_ev_per_fu": 1.13, "lattice_angstrom": [[-3.8311, 3.8311, 2.9931], [3.8311, -3.8311, 2.9931], [3.8311, 3.8311, -2.9931]], "species": ["Ti", "Ti", "Ti", "Ti", "Cd", "Cd", "Bi", "Bi"], "fractional_positions": [[0.1245, 0.1250, 0.4995], [0.3750, 0.8755, 0.0005], [0.6255, 0.6250, 0.5005], [0.8750, 0.3745, 0.9995], [0.0000, 0.0000, 0.0000], [0.7500, 0.2500, 0.5000], [0.2500, 0.7500, 0.5000], [0.5000, 0.5000, 0.0000]]}

[8]
{"formula": "La2As2I", "functional": "PBE-GGA", "state": "relaxed", "e_form_raw_ev_per_atom": -1.11, "relative_energy_mev_per_atom": 137.8, "lattice_angstrom": [[-2.8186, 2.8186, 4.8807], [2.8186, -2.8186, 4.8807], [2.8186, 2.8186, -4.8807]], "species": ["La", "La", "As", "As", "I"], "fractional_positions": [[0.2500, 0.7500, 0.5000], [0.7500, 0.2500, 0.5000], [0.1286, 0.1286, 0.0000], [0.8714, 0.8714, 0.0000], [0.5000, 0.5000, 0.0000]]}

[9]
{"formula": "Sc2Tl2Cu", "functional": "PBE-GGA", "state": "relaxed", "relative_energy_mev_per_atom": 80.6, "delta_e_f_ev_per_fu": 0.01, "lattice_angstrom": [[7.0396, 0.0000, 0.0000], [0.0000, 7.0396, 0.0000], [0.0000, 0.0000, 4.7541]], "species": ["Sc", "Sc", "Sc", "Sc", "Tl", "Tl", "Tl", "Tl", "Cu", "Cu"], "fractional_positions": [[0.1554, 0.3446, 0.0000], [0.3446, 0.8446, 0.0000], [0.6554, 0.1554, 0.0000], [0.8446, 0.6554, 0.0000], [0.1597, 0.6597, 0.5000], [0.3403, 0.1597, 0.5000], [0.6597, 0.8403, 0.5000], [0.8403, 0.3403, 0.5000], [0.0000, 0.0000, 0.0000], [0.5000, 0.5000, 0.0000]]}

[10]
{"formula": "HgPtSe2", "functional": "PBE-GGA", "state": "relaxed", "e_form_raw_ev_per_atom": 0.01, "relative_energy_mev_per_atom": 305.5, "lattice_angstrom": [[5.6387, 0.0000, 0.0000], [0.0000, 5.0838, 0.0000], [-2.7266, 0.0000, 5.9752]], "species": ["Hg", "Hg", "Pt", "Pt", "Se", "Se", "Se", "Se"], "fractional_positions": [[0.0761, 0.2500, 0.1518], [0.9239, 0.7500, 0.8482], [0.4328, 0.7500, 0.8665], [0.5672, 0.2500, 0.1335], [0.2226, 0.7500, 0.4434], [0.3625, 0.2500, 0.7179], [0.6375, 0.7500, 0.2821], [0.7774, 0.2500, 0.5566]]}

[11]
{"formula": "Li3InN", "functional": "PBE-GGA", "state": "relaxed", "e_form_raw_ev_per_atom": 1.31, "relative_energy_mev_per_atom": 1450.8, "lattice_angstrom": [[4.9472, 0.0000, 0.0000], [0.0000, 4.9472, 0.0000], [0.0000, 0.0000, 4.9472]], "species": ["Li", "Li", "Li", "In", "N"], "fractional_positions": [[0.0000, 0.0000, 0.5000], [0.0000, 0.5000, 0.0000], [0.5000, 0.0000, 0.0000], [0.0000, 0.0000, 0.0000], [0.5000, 0.5000, 0.5000]]}

[12]
{"formula": "Pm2Nd2Ho7", "functional": "PBE-GGA", "state": "relaxed", "delta_e_f_ev_per_fu": 1.65, "lattice_angstrom": [[5.6358, -5.8130, 0.0000], [5.6358, 5.8130, 0.0000], [-2.4596, 0.0000, 5.5744]], "species": ["Pm", "Pm", "Nd", "Nd", "Ho", "Ho", "Ho", "Ho", "Ho", "Ho", "Ho"], "fractional_positions": [[0.2111, 0.7889, 0.0000], [0.7889, 0.2111, 0.0000], [0.4026, 0.4026, 0.6893], [0.5974, 0.5974, 0.3107], [0.0000, 0.0000, 0.5000], [0.0650, 0.5890, 0.3239], [0.2325, 0.2325, 0.0770], [0.4110, 0.9350, 0.6761], [0.5890, 0.0650, 0.3239], [0.7675, 0.7675, 0.9230], [0.9350, 0.4110, 0.6761]]}

| no. | DFT total energy (eV/atom) | size of the total moment (μB/f.u.) |
| --- | --- | --- |
| 1 | -7.441 | 0.00 |
| 2 | -3.114 | 0.00 |
| 3 | -3.308 | 0.00 |
| 4 | -3.459 | 2.13 |
| 5 | -6.981 | 1.02 |
| 6 | -5.198 | 0.20 |
| 7 | -4.864 | 0.00 |
| 8 | -5.247 | 0.00 |
| 9 | -4.296 | 0.00 |
| 10 | -3.315 | 0.00 |
| 11 | -2.051 | 0.00 |
| 12 | -4.494 | 0.00 |